[1]
NbZnSeBr2 | PBE-GGA | relaxed

```
data_NbZnSeBr2
_cell_length_a 4.965
_cell_length_b 4.965
_cell_length_c 5.130
_cell_angle_alpha 90.00
_cell_angle_beta 90.00
_cell_angle_gamma 90.00
_symmetry_space_group_name_H-M 'P 4/m m m'
_symmetry_Int_Tables_number 123
_symmetry_space_group_name_Hall '-P 4 2'
loop_
_atom_site_label
_atom_site_type_symbol
_atom_site_fract_x
_atom_site_fract_y
_atom_site_fract_z
_atom_site_occupancy
Nb1 Nb 0.000 0.000 0.000 1
Zn1 Zn 0.500 0.500 0.500 1
Se1 Se 0.500 0.500 0.000 1
Br1 Br 0.000 0.500 0.500 1
```

Properties
For the magnetization, the calculation gives 2.957 μB per formula unit. Its total energy is -3.230 eV per atom.


[2]
Mn2TeI8 | PBE-GGA | relaxed

```
data_Mn2TeI8
_cell_length_a 15.776
_cell_length_b 9.247
_cell_length_c 7.275
_cell_angle_alpha 90.00
_cell_angle_beta 93.81
_cell_angle_gamma 90.00
_symmetry_space_group_name_H-M 'C 1 2/m 1'
_symmetry_Int_Tables_number 12
_symmetry_space_group_name_Hall '-C 2y'
loop_
_atom_site_label
_atom_site_type_symbol
_atom_site_fract_x
_atom_site_fract_y
_atom_site_fract_z
_atom_site_occupancy
Mn1 Mn 0.164 0.000 0.432 1
Te1 Te 0.000 0.000 0.000 1
I1 I 0.078 0.225 0.259 1
I2 I 0.164 0.000 0.806 1
I3 I 0.173 0.500 0.604 1
```

Properties
For the magnetization, the calculation gives 9.997 μB per formula unit. Its total energy is -3.333 eV per atom.


[3]
Nd2Er2Hg | PBE-GGA | relaxed

```
data_Nd2Er2Hg
_cell_length_a 7.398
_cell_length_b 10.284
_cell_length_c 16.538
_cell_angle_alpha 90.00
_cell_angle_beta 90.00
_cell_angle_gamma 90.00
_symmetry_space_group_name_H-M 'F m m m'
_symmetry_Int_Tables_number 69
_symmetry_space_group_name_Hall '-F 2 2'
loop_
_atom_site_label
_atom_site_type_symbol
_atom_site_fract_x
_atom_site_fract_y
_atom_site_fract_z
_atom_site_occupancy
Nd1 Nd 0.000 0.000 0.205 1
Nd2 Nd 0.209 0.000 0.000 1
Er1 Er 0.000 0.205 0.397 1
Hg1 Hg 0.250 0.250 0.250 1
```

Properties
For the magnetization, the calculation gives 0.000 μB per formula unit. As for the energy relative to the elements: -141 meV/atom. Its total energy is -3.933 eV per atom.


[4]
BeNbIn2Pb | PBE-GGA | relaxed

```
data_BeNbIn2Pb
_cell_length_a 5.777
_cell_length_b 5.777
_cell_length_c 4.395
_cell_angle_alpha 90.00
_cell_angle_beta 90.00
_cell_angle_gamma 90.00
_symmetry_space_group_name_H-M 'P 4/m m m'
_symmetry_Int_Tables_number 123
_symmetry_space_group_name_Hall '-P 4 2'
loop_
_atom_site_label
_atom_site_type_symbol
_atom_site_fract_x
_atom_site_fract_y
_atom_site_fract_z
_atom_site_occupancy
Be1 Be 0.000 0.000 0.000 1
Nb1 Nb 0.500 0.500 0.000 1
In1 In 0.000 0.500 0.500 1
Pb1 Pb 0.000 0.000 0.500 1
```

Properties
For the magnetization, the calculation gives 3.380 μB per formula unit. As for the energy relative to the elements: 1409 meV/atom. Its total energy is -3.188 eV per atom.


[5]
NdDy4Sb2 | PBE-GGA | relaxed

```
data_NdDy4Sb2
_cell_length_a 5.279
_cell_length_b 5.279
_cell_length_c 16.482
_cell_angle_alpha 90.00
_cell_angle_beta 90.00
_cell_angle_gamma 90.00
_symmetry_space_group_name_H-M 'I 4/m m m'
_symmetry_Int_Tables_number 139
_symmetry_space_group_name_Hall '-I 4 2'
loop_
_atom_site_label
_atom_site_type_symbol
_atom_site_fract_x
_atom_site_fract_y
_atom_site_fract_z
_atom_site_occupancy
Nd1 Nd 0.000 0.000 0.000 1
Dy1 Dy 0.000 0.000 0.184 1
Dy2 Dy 0.000 0.500 0.000 1
Sb1 Sb 0.000 0.000 0.367 1
```

Properties
For the magnetization, the calculation gives 0.002 μB per formula unit. Its total energy is -4.224 eV per atom.


[6]
Nd6Hg2N | PBE-GGA | relaxed

```
data_Nd6Hg2N
_cell_length_a 6.902
_cell_length_b 7.295
_cell_length_c 12.449
_cell_angle_alpha 90.00
_cell_angle_beta 123.67
_cell_angle_gamma 90.00
_symmetry_space_group_name_H-M 'P 1 21/c 1'
_symmetry_Int_Tables_number 14
_symmetry_space_group_name_Hall '-P 2ybc'
loop_
_atom_site_label
_atom_site_type_symbol
_atom_site_fract_x
_atom_site_fract_y
_atom_site_fract_z
_atom_site_occupancy
Nd1 Nd 0.148 0.015 0.239 1
Nd2 Nd 0.235 0.717 0.039 1
Nd3 Nd 0.332 0.199 0.041 1
Hg1 Hg 0.286 0.060 0.748 1
N1 N 0.000 0.000 0.000 1
```

Properties
For the magnetization, the calculation gives 0.000 μB per formula unit. Its total energy is -4.663 eV per atom.


[7]
Ce2NdPaAs4 | PBE-GGA | relaxed

```
data_Ce2NdPaAs4
_cell_length_a 7.269
_cell_length_b 4.197
_cell_length_c 7.275
_cell_angle_alpha 90.00
_cell_angle_beta 109.42
_cell_angle_gamma 90.00
_symmetry_space_group_name_H-M 'P 1 2/m 1'
_symmetry_Int_Tables_number 10
_symmetry_space_group_name_Hall '-P 2y'
loop_
_atom_site_label
_atom_site_type_symbol
_atom_site_fract_x
_atom_site_fract_y
_atom_site_fract_z
_atom_site_occupancy
Ce1 Ce 0.000 0.000 0.000 1
Ce2 Ce 0.500 0.500 0.000 1
Nd1 Nd 0.000 0.500 0.500 1
Pa1 Pa 0.500 0.000 0.500 1
As1 As 0.258 0.000 0.749 1
As2 As 0.259 0.500 0.257 1
```

Properties
For the magnetization, the calculation gives 1.978 μB per formula unit. As for the energy relative to the elements: -1352 meV/atom. Its total energy is -6.944 eV per atom.


[8]
Cr2FeAg | PBE-GGA | relaxed

```
data_Cr2FeAg
_cell_length_a 3.911
_cell_length_b 3.923
_cell_length_c 7.303
_cell_angle_alpha 90.00
_cell_angle_beta 90.00
_cell_angle_gamma 90.00
_symmetry_space_group_name_H-M 'I m m 2'
_symmetry_Int_Tables_number 44
_symmetry_space_group_name_Hall 'I 2 -2'
loop_
_atom_site_label
_atom_site_type_symbol
_atom_site_fract_x
_atom_site_fract_y
_atom_site_fract_z
_atom_site_occupancy
Cr1 Cr 0.000 0.000 0.000 1
Cr2 Cr 0.000 0.500 0.251 1
Fe1 Fe 0.000 0.500 0.750 1
Ag1 Ag 0.000 0.000 0.500 1
```

Properties
For the magnetization, the calculation gives 2.893 μB per formula unit. As for the energy relative to the elements: 480 meV/atom. Its total energy is -7.160 eV per atom.


[9]
Nb5Ru6Rh | PBE-GGA | relaxed

```
data_Nb5Ru6Rh
_cell_length_a 4.278
_cell_length_b 6.959
_cell_length_c 12.781
_cell_angle_alpha 90.00
_cell_angle_beta 90.00
_cell_angle_gamma 90.00
_symmetry_space_group_name_H-M 'I m m m'
_symmetry_Int_Tables_number 71
_symmetry_space_group_name_Hall '-I 2 2'
loop_
_atom_site_label
_atom_site_type_symbol
_atom_site_fract_x
_atom_site_fract_y
_atom_site_fract_z
_atom_site_occupancy
Nb1 Nb 0.000 0.000 0.000 1
Nb2 Nb 0.000 0.000 0.361 1
Nb3 Nb 0.000 0.500 0.316 1
Ru1 Ru 0.000 0.232 0.169 1
Ru2 Ru 0.000 0.282 0.500 1
Rh1 Rh 0.000 0.500 0.000 1
```

Properties
For the magnetization, the calculation gives 0.000 μB per formula unit. As for the energy relative to the elements: -243 meV/atom. Its total energy is -9.689 eV per atom.


[10]
Pm3PrDySc | PBE-GGA | relaxed

```
data_Pm3PrDySc
_cell_length_a 7.968
_cell_length_b 5.094
_cell_length_c 10.147
_cell_angle_alpha 90.00
_cell_angle_beta 108.72
_cell_angle_gamma 90.00
_symmetry_space_group_name_H-M 'P 1 21/m 1'
_symmetry_Int_Tables_number 11
_symmetry_space_group_name_Hall '-P 2yb'
loop_
_atom_site_label
_atom_site_type_symbol
_atom_site_fract_x
_atom_site_fract_y
_atom_site_fract_z
_atom_site_occupancy
Pm1 Pm 0.171 0.250 0.045 1
Pm2 Pm 0.173 0.750 0.790 1
Pm3 Pm 0.177 0.250 0.542 1
Pr1 Pr 0.176 0.750 0.297 1
Dy1 Dy 0.500 0.250 0.873 1
Sc1 Sc 0.500 0.250 0.378 1
```

Properties
For the magnetization, the calculation gives 0.000 μB per formula unit. As for the energy relative to the elements: 44 meV/atom. Its total energy is -4.951 eV per atom.


[11]
Li2PuNpF8 | PBE-GGA | relaxed

```
data_Li2PuNpF8
_cell_length_a 5.361
_cell_length_b 5.361
_cell_length_c 11.450
_cell_angle_alpha 90.00
_cell_angle_beta 90.00
_cell_angle_gamma 90.00
_symmetry_space_group_name_H-M 'I -4'
_symmetry_Int_Tables_number 82
_symmetry_space_group_name_Hall 'I -4'
loop_
_atom_site_label
_atom_site_type_symbol
_atom_site_fract_x
_atom_site_fract_y
_atom_site_fract_z
_atom_site_occupancy
Li1 Li 0.000 0.000 0.000 1
Li2 Li 0.000 0.500 0.250 1
Pu1 Pu 0.000 0.500 0.750 1
Np1 Np 0.000 0.000 0.500 1
F1 F 0.160 0.772 0.335 1
F2 F 0.167 0.270 0.917 1
```

Properties
For the magnetization, the calculation gives 9.000 μB per formula unit. Its total energy is -7.186 eV per atom.